4
Lattice="-0.646 0.710 -3.750 -4.170 -1.692 0.398 -4.778 6.228 2.003" Properties=species:S:1:pos:R:3 comment="CaLa2Ru (PBE, optimized geometry)" vol_a3_per_atom=34.0 dft_energy_ha_per_atom=-0.197 e_above_lowest_polymorph_mev_per_atom=138 crystal_system=monoclinic pbc="T T T"
La -3.130 2.192 -1.043
La -4.047 -1.210 0.468
Ca -6.164 3.846 -0.207
Ru -4.898 0.992 1.032